Entry 1:
The following is a DFT calculation (PBE-GGA) of a geometry-optimized MnZnP2S structure.

```
MnZnP2S
1.0
-3.3354 -2.5036 0.1416
1.6880 -2.4159 -2.9542
2.3375 -2.9043 3.7107
S Zn Mn P
1 1 1 2
Direct
0.0000 0.0000 0.5000 S
0.5000 0.5000 0.5000 Zn
0.0000 0.0000 0.0000 Mn
0.5000 0.0000 0.0000 P
0.0000 0.5000 0.0000 P
```

calculated total energy = -4.691 eV/atom
formation energy without anion corrections = 0.39 eV/atom
volume = 91.59 Å³ per cell
total magnetic moment = 0.0574 μB/atom

=====

Entry 2:
The following is a DFT calculation (PBE-GGA) of a geometry-optimized MnZnP2S structure.

```
MnZnP2S
1.0
-1.2091 -3.4438 -2.6785
1.8735 -2.9200 2.9086
-4.0633 -0.3420 2.2739
Mn S P Zn
1 1 2 1
Direct
0.5000 0.5000 0.5000 Mn
0.0000 0.0000 0.5000 S
0.5000 0.0000 0.0000 P
0.0000 0.5000 0.0000 P
0.0000 0.0000 0.0000 Zn
```

calculated total energy = -3.683 eV/atom
formation energy without anion corrections = 1.39 eV/atom
volume = 95.69 Å³ per cell
total magnetic moment = 0.0395 μB/atom

=====

Entry 3:
The following is a DFT calculation (PBE-GGA) of a geometry-optimized ZrMnP2S structure.

```
ZrMnP2S
1.0
-2.9523 2.2790 -3.3904
-0.8177 -4.4280 -2.2645
-3.8910 -0.7548 2.8808
P Mn S Zr
2 1 1 1
Direct
0.5000 0.0000 0.0000 P
0.0000 0.5000 0.0000 P
0.5000 0.5000 0.5000 Mn
0.0000 0.0000 0.5000 S
0.0000 0.0000 0.0000 Zr
```

calculated total energy = -6.193 eV/atom
formation energy without anion corrections = 0.34 eV/atom
volume = 124.48 Å³ per cell
total magnetic moment = 0.8677 μB/atom

=====

Entry 4:
The following is a DFT calculation (PBE-GGA) of a geometry-optimized ZrMnP2S structure.

```
ZrMnP2S
1.0
-1.6526 -0.3861 -4.0996
-3.3740 -2.4055 1.5866
-2.4060 3.7796 0.6139
P Mn S Zr
2 1 1 1
Direct
0.0000 0.5000 0.0000 P
0.5000 0.0000 0.0000 P
0.0000 0.0000 0.0000 Mn
0.0000 0.0000 0.5000 S
0.5000 0.5000 0.5000 Zr
```

calculated total energy = -6.523 eV/atom
formation energy without anion corrections = 0.01 eV/atom
volume = 89.03 Å³ per cell
total magnetic moment = 0.6288 μB/atom

=====

Entry 5:
The following is a DFT calculation (PBE-GGA) of a geometry-optimized Mn2SbP structure.

```
Mn2SbP
1.0
-3.8648 2.3657 -1.3720
-0.2251 -1.6404 -4.4355
-0.2639 -1.8701 4.3415
P Mn Sb
1 2 1
Direct
0.7500 0.2500 0.5000 P
0.5550 0.5550 0.0000 Mn
0.9450 0.9450 0.0000 Mn
0.2500 0.7500 0.5000 Sb
```

calculated total energy = -6.844 eV/atom
formation energy without anion corrections = 0.12 eV/atom
volume = 64.68 Å³ per cell
total magnetic moment = 1.2386 μB/atom

=====

Entry 6:
The following is a DFT calculation (PBE-GGA) of a geometry-optimized MnSb3P structure.

```
MnSb3P
1.0
5.0977 0.0000 0.0000
0.0000 5.0977 0.0000
0.0000 0.0000 5.0977
Sb P Mn
3 1 1
Direct
0.5000 0.0000 0.0000 Sb
0.0000 0.5000 0.0000 Sb
0.0000 0.0000 0.5000 Sb
0.0000 0.0000 0.0000 P
0.5000 0.5000 0.5000 Mn
```

calculated total energy = -4.119 eV/atom
formation energy without anion corrections = 1.27 eV/atom
volume = 132.47 Å³ per cell
total magnetic moment = 0.0144 μB/atom

=====

Entry 7:
The following is a DFT calculation (PBE-GGA) of a geometry-optimized MnSbP3 structure.

```
MnSbP3
1.0
4.9586 0.0000 0.0000
0.0000 4.9586 0.0000
0.0000 0.0000 4.9586
P Sb Mn
3 1 1
Direct
0.0000 0.0000 0.5000 P
0.0000 0.5000 0.0000 P
0.5000 0.0000 0.0000 P
0.0000 0.0000 0.0000 Sb
0.5000 0.5000 0.5000 Mn
```

calculated total energy = -4.042 eV/atom
formation energy without anion corrections = 1.86 eV/atom
volume = 121.92 Å³ per cell
total magnetic moment = 0.0907 μB/atom

=====

Entry 8:
The following is a DFT calculation (PBE-GGA) of a geometry-optimized Mn2SbP2 structure.

```
Mn2SbP2
1.0
2.4618 2.8501 0.6411
-2.8235 0.4484 -2.5341
-3.8637 2.2784 4.7081
Mn Sb P
2 1 2
Direct
0.6667 0.3333 0.3528 Mn
0.3333 0.6667 0.6472 Mn
0.0000 0.0000 0.0000 Sb
0.3333 0.6667 0.3080 P
0.6667 0.3333 0.6920 P
```

calculated total energy = -6.718 eV/atom
formation energy without anion corrections = -0.06 eV/atom
volume = 82.19 Å³ per cell
total magnetic moment = 0.3145 μB/atom